Density functional theory data (PBE) for an optimized crystal structure of YHo3In2.

The space group is Pmc2_1 (No. 26) and the conventional cell measures 5.1533, 9.7936 and 6.7274 Å, with angles of 90.00, 90.00 and 90.00 degrees. The asymmetric unit holds Y at (0.0000, 0.0388, 0.0000), Ho at (0.0000, 0.3177, 0.6425), Ho at (0.5000, 0.1845, 0.2804), Ho at (0.5000, 0.4612, 0.9225), In at (0.0000, 0.3601, 0.1701) and In at (0.5000, 0.1397, 0.7516).

For the excess energy over the best structure of this formula in the dataset, the calculation gives 0 meV per atom. Its formation energy is -0.364 eV/atom.

---

Density functional theory data (PBE) for an optimized crystal structure of CeDy2Mg.

The space group is Fm-3m (No. 225) and the conventional cell measures 7.7562, 7.7562 and 7.7562 Å, with angles of 90.00, 90.00 and 90.00 degrees. The asymmetric unit holds Ce at (0.0000, 0.0000, 0.0000), Dy at (0.2500, 0.2500, 0.2500) and Mg at (0.0000, 0.0000, 0.5000).

For the excess energy over the best structure of this formula in the dataset, the calculation gives 150 meV per atom. Its formation energy is 0.153 eV/atom.

---

Density functional theory data (PBE) for an optimized crystal structure of Sr2AgPb2.

The space group is P4/mbm (No. 127) and the conventional cell measures 8.0163, 8.0163 and 5.1218 Å, with angles of 90.00, 90.00 and 90.00 degrees. The asymmetric unit holds Sr at (0.1653, 0.3347, 0.0000), Ag at (0.0000, 0.0000, 0.5000) and Pb at (0.1422, 0.6422, 0.5000).

For the excess energy over the best structure of this formula in the dataset, the calculation gives 83 meV per atom. Its formation energy is -0.375 eV/atom.

---

D(E_F): 11.054, 35.046, 4.673 (states/eV per cell)